#w
A plane-wave DFT calculation with PBE was carried out for a relaxed TbTm2Sc crystal.

Cell lengths 6.5076, 6.5076, 6.5076 Å; angles 148.56, 124.34, 65.34 degrees
Closest atoms and distances in Å follow each position.
Fractional coordinates of all 4 atoms:
Tm 0.8358 0.7554 0.0804  3 Sc 3.36-3.47, 3 Tb 3.39-3.44, 6 Tm 3.51-3.53
Tm 0.3250 0.2446 0.0804  3 Sc 3.36-3.47, 3 Tb 3.39-3.44, 6 Tm 3.51-3.53
Tb 0.4226 0.0000 0.4226  6 Tm 3.39-3.44, 4 Sc 3.48-3.54, 2 Tb 3.53
Sc 0.9168 0.5000 0.4168  6 Tm 3.36-3.47, 4 Tb 3.48-3.54, 2 Sc 3.53

Calculated values
SG   Imm2 (44)
Magnetic moment   0.000 μB/f.u.



#x
A plane-wave DFT calculation with PBE was carried out for a relaxed TbTm2Sc crystal.

Cell lengths 4.8985, 4.8680, 4.8680 Å; angles 90.00, 90.00, 90.00 degrees
Closest atoms and distances in Å follow each position.
Fractional coordinates of all 4 atoms:
Sc 0.5000 0.0000 0.0000  4 Tb 3.44, 8 Tm 3.45
Tm 0.0000 0.5000 0.0000  4 Tm 3.44, 4 Tb 3.45, 4 Sc 3.45
Tm 0.0000 0.0000 0.5000  4 Tm 3.44, 4 Sc 3.45, 4 Tb 3.45
Tb 0.5000 0.5000 0.5000  4 Sc 3.44, 8 Tm 3.45

Calculated values
SG   P4/mmm (123)
Magnetic moment   0.001 μB/f.u.



Stability verdict: #w, ahead by 0.030 eV/atom



#w
A plane-wave DFT calculation with PBE was carried out for a relaxed Tb7TmSc4 crystal.

Cell lengths 6.9688, 9.2201, 8.5592 Å; angles 81.01, 89.92, 40.93 degrees
Closest atoms and distances in Å follow each position.
Fractional coordinates of all 12 atoms:
Tb 0.7772 0.2226 0.3363  5 Sc 3.39-3.52, 6 Tb 3.39-3.54, 1 Tm 3.45
Tb 0.2483 0.4967 0.9945  3 Sc 3.41-3.48, 7 Tb 3.42-3.56, 2 Tm 3.48-3.53
Tb 0.9706 0.2847 0.6607  6 Sc 3.34-3.56, 5 Tb 3.40-3.54, 1 Tm 3.49
Tb 0.2228 0.7774 0.6637  5 Sc 3.39-3.52, 6 Tb 3.39-3.54, 1 Tm 3.45
Tb 0.5000 0.0000 0.0000  4 Sc 3.42-3.46, 6 Tb 3.44-3.50, 2 Tm 3.48
Tb 0.0294 0.7153 0.3393  6 Sc 3.34-3.56, 5 Tb 3.40-3.54, 1 Tm 3.49
Tb 0.7517 0.5033 0.0055  3 Sc 3.41-3.48, 7 Tb 3.42-3.56, 2 Tm 3.48-3.53
Sc 0.5293 0.7255 0.3369  3 Sc 3.34-3.52, 8 Tb 3.36-3.56, 1 Tm 3.46
Sc 0.2843 0.2160 0.3398  4 Sc 3.31-3.52, 8 Tb 3.34-3.49
Sc 0.4707 0.2745 0.6631  3 Sc 3.34-3.52, 8 Tb 3.36-3.56, 1 Tm 3.46
Sc 0.7157 0.7840 0.6602  4 Sc 3.31-3.52, 8 Tb 3.34-3.49
Tm 0.0000 0.0000 0.0000  10 Tb 3.45-3.53, 2 Sc 3.46

Calculated values
SG   P-1 (2)
Magnetic moment   0.000 μB/f.u.



#x
A plane-wave DFT calculation with PBE was carried out for a relaxed Tb7TmSc4 crystal.

Cell lengths 5.7516, 9.0599, 8.2490 Å; angles 65.43, 69.60, 71.49 degrees
Closest atoms and distances in Å follow each position.
Fractional coordinates of all 12 atoms:
Sc 0.5554 0.2982 0.5910  2 Tb 3.06-3.32, 2 Sc 3.22-3.26
Sc 0.3335 0.3483 0.9846  5 Tb 2.95-3.29, 1 Sc 3.22
Sc 0.4446 0.7018 0.4090  2 Tb 3.06-3.32, 2 Sc 3.22-3.26
Sc 0.6665 0.6517 0.0154  5 Tb 2.95-3.29, 1 Sc 3.22
Tb 0.0881 0.5540 0.2698  5 Sc 3.26-3.46, 3 Tb 3.36-3.53
Tb 0.2400 0.7248 0.7952  4 Sc 3.06-3.29, 1 Tm 3.27
Tb 0.5000 0.0000 0.0000  2 Tm 2.88, 2 Sc 2.95
Tb 0.7600 0.2752 0.2048  4 Sc 3.06-3.29, 1 Tm 3.27
Tb 0.7917 0.8827 0.5339  6 Tb 3.45-3.53, 4 Sc 3.56-3.74
Tb 0.2083 0.1173 0.4661  6 Tb 3.45-3.53, 4 Sc 3.56-3.74
Tb 0.9119 0.4460 0.7302  5 Sc 3.26-3.46, 3 Tb 3.36-3.53
Tm 0.0000 0.0000 0.0000  2 Tb 2.88

Calculated values
SG   C2/m (12)
Magnetic moment   0.432 μB/f.u.



Stability verdict: #w, ahead by 0.228 eV/atom



#w
A plane-wave DFT calculation with PBE was carried out for a relaxed Tb4Tm2Sc3 crystal.

Cell lengths 6.0136, 9.5546, 9.5548 Å; angles 72.17, 85.90, 85.90 degrees
Closest atoms and distances in Å follow each position.
Fractional coordinates of all 18 atoms:
Tb 0.8429 0.4272 0.1421  1 Tb 3.20, 4 Sc 3.28-3.36, 3 Tm 3.35-3.51
Tb 0.3429 0.1421 0.4272  1 Tb 3.20, 4 Sc 3.28-3.36, 3 Tm 3.35-3.51
Tb 0.1571 0.5728 0.8579  1 Tb 3.20, 4 Sc 3.28-3.36, 3 Tm 3.35-3.51
Tb 0.4899 0.9060 0.1910  1 Tm 3.22, 4 Sc 3.29-3.36, 3 Tb 3.35-3.54
Tb 0.6571 0.8579 0.5728  1 Tb 3.20, 4 Sc 3.28-3.36, 3 Tm 3.35-3.51
Tb 0.0101 0.8090 0.0940  1 Tm 3.22, 4 Sc 3.29-3.36, 3 Tb 3.35-3.54
Tb 0.9899 0.1910 0.9060  1 Tm 3.22, 4 Sc 3.29-3.36, 3 Tb 3.35-3.54
Tb 0.5101 0.0940 0.8090  1 Tm 3.22, 4 Sc 3.29-3.36, 3 Tb 3.35-3.54
Sc 0.7500 0.5982 0.4018  4 Tm 3.24-3.30, 4 Tb 3.36
Sc 0.0816 0.9326 0.7330  6 Tb 3.28-3.36, 2 Tm 3.35-3.38
Sc 0.9184 0.0674 0.2670  6 Tb 3.28-3.36, 2 Tm 3.35-3.38
Sc 0.5816 0.7330 0.9326  6 Tb 3.28-3.36, 2 Tm 3.35-3.38
Sc 0.4184 0.2670 0.0674  6 Tb 3.28-3.36, 2 Tm 3.35-3.38
Sc 0.2500 0.4018 0.5982  4 Tm 3.24-3.30, 4 Tb 3.36
Tm 0.1766 0.7571 0.4779  4 Tb 3.22-3.51, 4 Sc 3.24-3.38
Tm 0.3234 0.5221 0.2429  4 Tb 3.22-3.51, 4 Sc 3.24-3.38
Tm 0.6766 0.4779 0.7571  4 Tb 3.22-3.51, 4 Sc 3.24-3.38
Tm 0.8234 0.2429 0.5221  4 Tb 3.22-3.51, 4 Sc 3.24-3.38

Calculated values
SG   C2/c (15)
Magnetic moment   0.000 μB/f.u.



#x
A plane-wave DFT calculation with PBE was carried out for a relaxed Tb4Tm2Sc3 crystal.

Cell lengths 6.1894, 9.2573, 9.2573 Å; angles 89.66, 86.83, 86.83 degrees
Closest atoms and distances in Å follow each position.
Fractional coordinates of all 18 atoms:
Tm 0.5655 0.2301 0.3459  3 Sc 3.11-3.27, 4 Tb 3.30-3.46, 2 Tm 3.44
Tm 0.9345 0.6541 0.7699  3 Sc 3.11-3.27, 4 Tb 3.30-3.46, 2 Tm 3.44
Tm 0.4345 0.7699 0.6541  3 Sc 3.11-3.27, 4 Tb 3.30-3.46, 2 Tm 3.44
Tm 0.0655 0.3459 0.2301  3 Sc 3.11-3.27, 4 Tb 3.30-3.46, 2 Tm 3.44
Tb 0.3882 0.4423 0.8109  3 Sc 3.30-3.44, 2 Tm 3.37, 3 Tb 3.40-3.60
Tb 0.1171 0.6917 0.0944  2 Tm 3.30-3.46, 3 Sc 3.32-3.49, 4 Tb 3.36-3.60
Tb 0.6171 0.0944 0.6917  2 Tm 3.30-3.46, 3 Sc 3.32-3.49, 4 Tb 3.36-3.60
Tb 0.3829 0.9056 0.3083  2 Tm 3.30-3.46, 3 Sc 3.32-3.49, 4 Tb 3.36-3.60
Tb 0.8882 0.8109 0.4423  3 Sc 3.30-3.44, 2 Tm 3.37, 3 Tb 3.40-3.60
Tb 0.6118 0.5577 0.1891  3 Sc 3.30-3.44, 2 Tm 3.37, 3 Tb 3.40-3.60
Tb 0.8829 0.3083 0.9056  2 Tm 3.30-3.46, 3 Sc 3.32-3.49, 4 Tb 3.36-3.60
Tb 0.1118 0.1891 0.5577  3 Sc 3.30-3.44, 2 Tm 3.37, 3 Tb 3.40-3.60
Sc 0.4073 0.1552 0.0245  2 Sc 3.06-3.17, 2 Tm 3.22-3.27, 2 Tb 3.30-3.32
Sc 0.5927 0.8448 0.9755  2 Sc 3.06-3.17, 2 Tm 3.22-3.27, 2 Tb 3.30-3.32
Sc 0.7500 0.4660 0.5340  2 Tm 3.11, 2 Sc 3.22, 4 Tb 3.32-3.44
Sc 0.9073 0.0245 0.1552  2 Sc 3.06-3.17, 2 Tm 3.22-3.27, 2 Tb 3.30-3.32
Sc 0.2500 0.5340 0.4660  2 Tm 3.11, 2 Sc 3.22, 4 Tb 3.32-3.44
Sc 0.0927 0.9755 0.8448  2 Sc 3.06-3.17, 2 Tm 3.22-3.27, 2 Tb 3.30-3.32

Calculated values
SG   C2/c (15)
Magnetic moment   0.000 μB/f.u.



Stability verdict: #x, ahead by 0.018 eV/atom



#w
A plane-wave DFT calculation with PBE was carried out for a relaxed Tb2Tm3Sc crystal.

Cell lengths 6.0187, 6.9541, 9.1833 Å; angles 112.25, 89.92, 90.00 degrees
Closest atoms and distances in Å follow each position.
Fractional coordinates of all 12 atoms:
Tm 0.4199 0.9600 0.6730  2 Sc 3.42, 4 Tm 3.43-3.56, 6 Tb 3.45-3.55
Tm 0.5801 0.0400 0.3270  2 Sc 3.42, 4 Tm 3.43-3.56, 6 Tb 3.45-3.55
Tm 0.0801 0.2870 0.3270  2 Sc 3.42, 4 Tm 3.43-3.56, 6 Tb 3.45-3.55
Tm 0.2500 0.3718 0.0000  4 Tm 3.43-3.50, 4 Sc 3.44-3.52, 4 Tb 3.46
Tm 0.9199 0.7130 0.6730  2 Sc 3.42, 4 Tm 3.43-3.56, 6 Tb 3.45-3.55
Tm 0.7500 0.6282 0.0000  4 Tm 3.43-3.50, 4 Sc 3.44-3.52, 4 Tb 3.46
Tb 0.4150 0.4609 0.6698  1 Sc 3.45, 8 Tm 3.45-3.55, 3 Tb 3.48-3.51
Tb 0.5850 0.5391 0.3302  1 Sc 3.45, 8 Tm 3.45-3.55, 3 Tb 3.48-3.51
Tb 0.9150 0.2090 0.6698  1 Sc 3.45, 8 Tm 3.45-3.55, 3 Tb 3.48-3.51
Tb 0.0850 0.7910 0.3302  1 Sc 3.45, 8 Tm 3.45-3.55, 3 Tb 3.48-3.51
Sc 0.7500 0.1227 0.0000  8 Tm 3.42-3.52, 2 Tb 3.45, 2 Sc 3.46
Sc 0.2500 0.8773 0.0000  8 Tm 3.42-3.52, 2 Tb 3.45, 2 Sc 3.46

Calculated values
SG   C2/c (15)
Magnetic moment   0.000 μB/f.u.



#x
A plane-wave DFT calculation with PBE was carried out for a relaxed Tb2Tm3Sc crystal.

Cell lengths 3.4125, 8.8334, 12.6199 Å; angles 78.32, 82.23, 78.86 degrees
Closest atoms and distances in Å follow each position.
Fractional coordinates of all 12 atoms:
Tm 0.2597 0.1873 0.2932  4 Tb 3.27-3.40, 5 Tm 3.37-3.58, 2 Sc 3.54
Tm 0.5989 0.8280 0.9742  6 Tm 3.16-3.52, 3 Tb 3.41-3.44
Tm 0.0384 0.1381 0.7852  3 Tb 3.37-3.58, 8 Tm 3.41-3.66, 2 Sc 3.63
Tm 0.9616 0.8619 0.2148  3 Tb 3.37-3.58, 8 Tm 3.41-3.66, 2 Sc 3.63
Tm 0.4011 0.1720 0.0258  6 Tm 3.16-3.52, 3 Tb 3.41-3.44
Tm 0.7403 0.8127 0.7068  4 Tb 3.27-3.40, 5 Tm 3.37-3.58, 2 Sc 3.54
Sc 0.4373 0.4842 0.6411  4 Tb 3.36-3.43, 3 Sc 3.41-3.49, 4 Tm 3.54-3.63
Sc 0.5627 0.5158 0.3589  4 Tb 3.36-3.43, 3 Sc 3.41-3.49, 4 Tm 3.54-3.63
Tb 0.3448 0.8414 0.4691  2 Sc 3.36-3.43, 5 Tm 3.38-3.58, 4 Tb 3.41-3.44
Tb 0.1792 0.5204 0.1212  5 Tm 3.27-3.44, 4 Tb 3.41-3.55, 2 Sc 3.42
Tb 0.6552 0.1586 0.5309  2 Sc 3.36-3.43, 5 Tm 3.38-3.58, 4 Tb 3.41-3.44
Tb 0.8208 0.4796 0.8788  5 Tm 3.27-3.44, 4 Tb 3.41-3.55, 2 Sc 3.42

Calculated values
SG   C2/m (12)
Magnetic moment   0.004 μB/f.u.



Stability verdict: #w, ahead by 0.107 eV/atom